Record 1
This record from Alexandria describes a relaxed CaAg2BiH crystal. The functional is GGA-PBE.

Results
DOS at the Fermi energy = 0.3657 states/eV/atom
Space group = No. 123
Total energy = -3.17 eV per atom
Magnetization = 0.000 μB/atom

Lattice parameters (Å, degrees): 4.5321 4.5321 4.7334 90.00 90.00 90.00
Positions (direct):
H: 0.0000 0.0000 0.0000
Ca: 0.0000 0.0000 0.5000
Bi: 0.5000 0.5000 0.5000
Ag: 0.0000 0.5000 0.0000
Ag: 0.5000 0.0000 0.0000


Record 2
This record from Alexandria describes a relaxed YAs2PtBr crystal. The functional is GGA-PBE.

Results
DOS at the Fermi energy = 0.6748 states/eV/atom
Space group = No. 123
Total energy = -4.09 eV per atom
Formation energy from raw total energies = 0.605 eV per atom
Magnetization = 0.000 μB/atom

Lattice parameters (Å, degrees): 5.5025 5.5025 5.2414 90.00 90.00 90.00
Positions (direct):
Y: 0.0000 0.0000 0.0000
As: 0.0000 0.5000 0.0000
As: 0.5000 0.0000 0.0000
Br: 0.0000 0.0000 0.5000
Pt: 0.5000 0.5000 0.5000


Record 3
This record from Alexandria describes a relaxed Nd2TmAl2Rh5 crystal. The functional is GGA-PBE.

Results
DOS at the Fermi energy = 0.4395 states/eV/atom
Space group = No. 127
Total energy = -6.67 eV per atom
ΔH_f (0 K) = -0.85 eV/atom
Magnetization = 0.000 μB/atom

Lattice parameters (Å, degrees): 3.5318 10.2553 10.2553 90.00 90.00 90.00
Positions (direct):
Nd: 0.0000 0.6757 0.1757
Nd: 0.0000 0.3243 0.8243
Nd: 0.0000 0.1757 0.3243
Nd: 0.0000 0.8243 0.6757
Tm: 0.0000 0.0000 0.0000
Tm: 0.0000 0.5000 0.5000
Al: 0.0000 0.1205 0.6205
Al: 0.0000 0.8795 0.3795
Al: 0.0000 0.6205 0.8795
Al: 0.0000 0.3795 0.1205
Rh: 0.5000 0.2149 0.0688
Rh: 0.5000 0.7851 0.9312
Rh: 0.5000 0.0688 0.7851
Rh: 0.5000 0.7149 0.4312
Rh: 0.5000 0.9312 0.2149
Rh: 0.5000 0.2851 0.5688
Rh: 0.5000 0.5688 0.7149
Rh: 0.5000 0.4312 0.2851
Rh: 0.5000 0.5000 0.0000
Rh: 0.5000 0.0000 0.5000